Entry from Alexandria via LeMat-Bulk: a relaxed InSn2O6 crystal (GGA-PBE).

Energy relative to the elements, uncorrected: -1.401 eV/atom
E_tot: -106.2 eV/cell
Space-group type: P4_2/mnm (136)

Unit cell a=4.899 b=4.899 c=9.852 alpha=90.00 beta=90.00 gamma=90.00
Positions (direct):
O (0.302, 0.302, 0.174)
O (0.812, 0.188, 0.000)
O (0.698, 0.698, 0.174)
O (0.198, 0.802, 0.326)
O (0.802, 0.198, 0.326)
O (0.188, 0.812, 0.000)
O (0.698, 0.698, 0.826)
O (0.302, 0.302, 0.826)
O (0.688, 0.688, 0.500)
O (0.802, 0.198, 0.674)
O (0.312, 0.312, 0.500)
O (0.198, 0.802, 0.674)
In (0.500, 0.500, 0.000)
In (0.000, 0.000, 0.500)
Sn (0.500, 0.500, 0.334)
Sn (0.000, 0.000, 0.834)
Sn (0.500, 0.500, 0.666)
Sn (0.000, 0.000, 0.166)